No. 1
Below is a geometry-optimized BaAg2W structure, with properties calculated at the PBE level.

a b c (Å): 5.571 5.571 2.991
angles (deg): 89.92 89.92 111.19
Fractional coordinates of all 4 atoms:
Ag 0.000 0.000 0.000
Ag 0.500 0.500 0.000
Ba 0.500 0.000 0.500
W 0.000 0.500 0.500

Electronic total energy: -16.92 eV/cell
Relative energy among the computed polymorphs: 174 meV/atom


No. 2
Below is a geometry-optimized CrTcPb2 structure, with properties calculated at the PBE level.

a b c (Å): 4.809 4.809 5.574
angles (deg): 78.97 78.97 41.02
Fractional coordinates of all 4 atoms:
Cr 0.250 0.250 0.250
Pb 0.006 0.006 0.990
Pb 0.494 0.494 0.510
Tc 0.750 0.750 0.750

Electronic total energy: -24.51 eV/cell
Relative energy among the computed polymorphs: 398 meV/atom


No. 3
Below is a geometry-optimized LaSmThIn structure, with properties calculated at the PBE level.

a b c (Å): 5.596 5.596 5.596
angles (deg): 60.00 60.00 60.00
Fractional coordinates of all 4 atoms:
Th 0.750 0.750 0.750
In 0.250 0.250 0.250
La 0.500 0.500 0.500
Sm 0.000 0.000 0.000

Electronic total energy: -20.01 eV/cell


Summary of energy of formation in eV per atom
0.915; 0.724; -0.052
(order as listed above)
Summary of Fermi-level density of states in states/eV/atom
0.63; 0.80; 1.63
(order as listed above)